Computed, not measured: a relaxed structure of NdCuNi at the PBE-GGA level of DFT.

The structure in POSCAR format:
```
NdCuNi
1.0
-1.709 1.709 4.697
1.709 -1.709 4.697
1.709 1.709 -4.697
Nd Cu Ni
1 1 1
Cartesian
0.000 0.000 0.000
0.000 0.000 2.808
0.000 0.000 6.469
```

Output
Fermi-level density of states: 2.65 states/eV per cell
formation energy from the elements: -0.0663 eV/atom
final energy: -4.948 eV per atom
space-group type: I4mm, No. 107